LaPrCdGa | PBE | relaxed

Cell lengths 7.666, 7.666, 7.666 Å; angles 90.00, 90.00, 90.00 degrees
Space group F-43m (No. 216)
Inequivalent atoms, fractional coordinates:
La 0.000 0.000 0.000
Pr 0.000 0.000 0.500
Cd 0.250 0.250 0.750
Ga 0.250 0.250 0.250

Output
The total magnetic moment is 0.00 μB/f.u. For the theoretical density, the calculation gives 6811 kg/m3. For the energy above the most stable polymorph in this dataset, the calculation gives 0.013 eV/atom. As for the uncorrected energy: -3.84 eV per atom.

Rb4MgU3Se8 | PBE | relaxed

Cell lengths 8.4741, 8.4741, 24.0327 Å; angles 90.00, 90.00, 120.00 degrees
Space group R-3m (No. 166, hexagonal axes)
Inequivalent atoms, fractional coordinates:
Rb 0.0000 0.0000 0.0000
Rb 0.0000 0.5000 0.0000
Mg 0.0000 0.0000 0.5000
U 0.0000 0.5000 0.5000
Se 0.0000 0.0000 0.2328
Se 0.0046 0.5023 0.2310

Output
The total magnetic moment is 8.00 μB/f.u. For the theoretical density, the calculation gives 5706 kg/m3. Its energy relative to the elements, uncorrected is -1.22 eV/atom. As for the uncorrected energy: -5.42 eV per atom.

Ac2Ge4Pd3Pb | PBE | relaxed

Cell lengths 4.533, 4.533, 10.832 Å; angles 90.00, 90.00, 90.00 degrees
Space group P-4m2 (No. 115)
Inequivalent atoms, fractional coordinates:
Ac 0.000 0.500 0.233
Ge 0.000 0.000 0.000
Ge 0.000 0.500 0.654
Ge 0.500 0.500 0.000
Pd 0.000 0.500 0.884
Pd 0.500 0.500 0.500
Pb 0.000 0.000 0.500

Output
The total magnetic moment is 0.00 μB/f.u. For the theoretical density, the calculation gives 9482 kg/m3. As for the uncorrected energy: -5.26 eV per atom.

YIrSeBr2 | PBE | relaxed

Cell lengths 5.437, 5.437, 5.623 Å; angles 90.00, 90.00, 90.00 degrees
Space group P4/mmm (No. 123)
Inequivalent atoms, fractional coordinates:
Y 0.000 0.000 0.000
Ir 0.000 0.000 0.500
Se 0.500 0.500 0.500
Br 0.000 0.500 0.000

Output
The total magnetic moment is 3.64 μB/f.u. For the theoretical density, the calculation gives 5194 kg/m3. For the energy above the most stable polymorph in this dataset, the calculation gives 0.443 eV/atom. Its energy relative to the elements, uncorrected is 0.29 eV/atom. As for the uncorrected energy: -4.15 eV per atom.

Ce6Te3C | PBE | relaxed

Cell lengths 6.392, 8.270, 12.309 Å; angles 90.00, 120.56, 90.00 degrees
Space group P2_1/c (No. 14)
Inequivalent atoms, fractional coordinates:
Ce 0.051 0.218 0.451
Ce 0.289 0.656 0.456
Ce 0.349 0.028 0.221
Te 0.162 0.117 0.746
Te 0.500 0.000 0.500
C 0.000 0.000 0.000

Output
The total magnetic moment is 5.35 μB/f.u. For the theoretical density, the calculation gives 7324 kg/m3. Its energy relative to the elements, uncorrected is -0.74 eV/atom. As for the uncorrected energy: -6.16 eV per atom.

RbSc2InO | PBE | relaxed

Cell lengths 5.446, 5.446, 4.400 Å; angles 90.00, 90.00, 90.00 degrees
Space group P4/mmm (No. 123)
Inequivalent atoms, fractional coordinates:
Rb 0.000 0.000 0.000
Sc 0.000 0.500 0.000
In 0.500 0.500 0.500
O 0.000 0.000 0.500

Output
The total magnetic moment is 0.41 μB/f.u. For the theoretical density, the calculation gives 3897 kg/m3. Its energy relative to the elements, uncorrected is 0.92 eV/atom. As for the uncorrected energy: -3.34 eV per atom.

Sr3Mg5Pb2 | PBE | relaxed

Cell lengths 13.575, 13.762, 6.934 Å; angles 90.00, 90.00, 90.00 degrees
Space group Ibam (No. 72)
Inequivalent atoms, fractional coordinates:
Sr 0.000 0.000 0.250
Sr 0.244 0.372 0.000
Mg 0.000 0.260 0.250
Mg 0.000 0.500 0.250
Mg 0.140 0.381 0.500
Pb 0.149 0.142 0.000

Output
The total magnetic moment is 0.00 μB/f.u. For the theoretical density, the calculation gives 4096 kg/m3. As for the uncorrected energy: -2.23 eV per atom.

PmHoHgAu | PBE | relaxed

Cell lengths 7.399, 7.399, 7.399 Å; angles 90.00, 90.00, 90.00 degrees
Space group F-43m (No. 216)
Inequivalent atoms, fractional coordinates:
Pm 0.000 0.000 0.000
Ho 0.000 0.000 0.500
Hg 0.250 0.250 0.250
Au 0.250 0.250 0.750

Output
The total magnetic moment is 0.00 μB/f.u. For the theoretical density, the calculation gives 11601 kg/m3. For the energy above the most stable polymorph in this dataset, the calculation gives 0.018 eV/atom. As for the uncorrected energy: -3.86 eV per atom.

Rb3PdS | PBE | relaxed

Cell lengths 6.338, 6.338, 6.338 Å; angles 90.00, 90.00, 90.00 degrees
Space group Pm-3m (No. 221)
Inequivalent atoms, fractional coordinates:
Rb 0.000 0.000 0.500
Pd 0.500 0.500 0.500
S 0.000 0.000 0.000

Output
The total magnetic moment is 0.96 μB/f.u. For the theoretical density, the calculation gives 2575 kg/m3. For the energy above the most stable polymorph in this dataset, the calculation gives 0.000 eV/atom. Its energy relative to the elements, uncorrected is -0.18 eV/atom. As for the uncorrected energy: -2.62 eV per atom.